Material: KCu3Sb
Method: DFT, PBE-GGA
State: optimized geometry

a = 5.0219 Å, b = 5.0219 Å, c = 5.0219 Å
α = 90.00°, β = 90.00°, γ = 90.00°
Closest atoms and distances in Å follow each position.
Space group Pm-3m (No. 221)
Symmetry-distinct sites (fractional):
K 0.0000 0.0000 0.0000 [1 per cell]  12 Cu 3.55
Cu 0.0000 0.5000 0.5000 [3 per cell]  2 Sb 2.51
Sb 0.5000 0.5000 0.5000 [1 per cell]  6 Cu 2.51

Properties
The density of states at the Fermi level is 3.27 states/eV/cell. The raw formation energy comes out at 0.3446 eV/atom. The total energy comes out at -3.1571 eV per atom.

Material: KCuSb2
Method: DFT, PBE-GGA
State: optimized geometry

a = 9.5806 Å, b = 4.2859 Å, c = 7.0445 Å
α = 90.00°, β = 118.27°, γ = 90.00°
Closest atoms and distances in Å follow each position.
Space group C2/m (No. 12)
Symmetry-distinct sites (fractional):
K 0.0000 0.0000 0.0000 [2 per cell]  8 Sb 3.69-3.83, 4 Cu 4.12
Cu 0.0000 0.5000 0.5000 [2 per cell]  4 Sb 2.61
Sb 0.1769 0.0000 0.6134 [4 per cell]  2 Cu 2.61

Properties
The density of states at the Fermi level is 2.38 states/eV/cell. The raw formation energy comes out at -0.0857 eV/atom. As for the excess energy over the best structure of this formula in the dataset: 0.024 eV per atom. The total energy comes out at -3.4453 eV per atom.

Material: KCu4Sb
Method: DFT, PBE-GGA
State: optimized geometry

a = 7.4112 Å, b = 7.4112 Å, c = 7.4112 Å
α = 90.00°, β = 90.00°, γ = 90.00°
Closest atoms and distances in Å follow each position.
Space group F-43m (No. 216)
Symmetry-distinct sites (fractional):
K 0.0000 0.0000 0.0000 [4 per cell]  12 Cu 3.07, 4 Sb 3.21
Cu 0.1251 0.1251 0.3749 [16 per cell]  6 Cu 2.62
Sb 0.2500 0.2500 0.7500 [4 per cell]  12 Cu 3.07, 4 K 3.21

Properties
The density of states at the Fermi level is 2.01 states/eV/cell. The raw formation energy comes out at 0.1606 eV/atom. The total energy comes out at -3.4402 eV per atom.

Material: K2CuSb2
Method: DFT, PBE-GGA
State: optimized geometry

a = 12.0399 Å, b = 4.9333 Å, c = 11.6625 Å
α = 90.00°, β = 119.08°, γ = 90.00°
Closest atoms and distances in Å follow each position.
Space group C2/m (No. 12)
Symmetry-distinct sites (fractional):
K 0.0901 0.0000 0.3894 [4 per cell]  6 Sb 3.47-3.58, 2 K 3.85, 2 Cu 3.85
K 0.1671 0.5000 0.1848 [4 per cell]  7 Sb 3.45-3.84, 4 Cu 3.53-3.61, 2 K 3.85
Cu 0.1467 0.5000 0.8653 [4 per cell]  4 Sb 2.69-2.82
Sb 0.1013 0.0000 0.9531 [4 per cell]  3 Cu 2.73-2.82
Sb 0.1179 0.5000 0.6214 [4 per cell]  1 Cu 2.69, 1 Sb 2.88

Properties
The density of states at the Fermi level is 11.73 states/eV/cell. The raw formation energy comes out at -0.2412 eV/atom. The total energy comes out at -3.1484 eV per atom.

Material: KCu2Sb2Se6
Method: DFT, PBE-GGA
State: optimized geometry

a = 6.9153 Å, b = 6.9628 Å, c = 8.4683 Å
α = 65.78°, β = 89.28°, γ = 89.95°
Closest atoms and distances in Å follow each position.
Space group P-1 (No. 2)
Symmetry-distinct sites (fractional):
K 0.0000 0.0000 0.0000 [1 per cell]  4 Se 3.48
Cu 0.4413 0.3602 0.2786 [2 per cell]  3 Se 2.31-2.37
Sb 0.0570 0.7058 0.5886 [2 per cell]  5 Se 2.55-2.82
Se 0.2258 0.0739 0.3358 [2 per cell]  1 Cu 2.37
Se 0.2257 0.5897 0.3357 [2 per cell]  1 Cu 2.37
Se 0.2619 0.5700 0.8614 [2 per cell]  1 Cu 2.31, 1 Sb 2.55

Properties
The density of states at the Fermi level is 2.38 states/eV/cell. The raw formation energy comes out at -0.2698 eV/atom. The total energy comes out at -3.7645 eV per atom.

Material: KCuSb2Se4
Method: DFT, PBE-GGA
State: optimized geometry

a = 4.1524 Å, b = 14.0703 Å, c = 14.8298 Å
α = 90.00°, β = 90.00°, γ = 90.00°
Closest atoms and distances in Å follow each position.
Space group Cmcm (No. 63)
Symmetry-distinct sites (fractional):
K 0.0000 0.1081 0.2500 [4 per cell]  6 Se 3.29-3.44
Cu 0.0000 0.1578 0.7500 [4 per cell]  4 Se 2.39-2.56
Sb 0.0000 0.3659 0.0598 [8 per cell]  6 Se 2.87-2.95
Se 0.0000 0.0000 0.0000 [4 per cell]  4 Sb 2.94
Se 0.0000 0.2641 0.6099 [8 per cell]  1 Cu 2.56, 2 Sb 2.87
Se 0.0000 0.4264 0.2500 [4 per cell]  2 Cu 2.39

Properties
The density of states at the Fermi level is 2.66 states/eV/cell. The raw formation energy comes out at -0.4424 eV/atom. The total energy comes out at -3.8644 eV per atom.

Material: KCu2SbSe4
Method: DFT, PBE-GGA
State: optimized geometry

a = 6.5747 Å, b = 8.1113 Å, c = 8.8709 Å
α = 90.00°, β = 90.00°, γ = 90.00°
Closest atoms and distances in Å follow each position.
Space group I222 (No. 23)
Symmetry-distinct sites (fractional):
K 0.0000 0.0000 0.0000 [2 per cell]  8 Se 3.51-3.60
Cu 0.0000 0.5000 0.1514 [4 per cell]  2 Se 2.30
Sb 0.0000 0.0000 0.5000 [2 per cell]  4 Se 2.55
Se 0.2276 0.1769 0.3320 [8 per cell]  1 Cu 2.30, 1 Sb 2.55

Properties
The raw formation energy comes out at -0.3509 eV/atom. The total energy comes out at -3.7697 eV per atom.

Material: K2CuSbSe4
Method: DFT, PBE-GGA
State: optimized geometry

a = 8.1971 Å, b = 8.1971 Å, c = 6.7627 Å
α = 90.00°, β = 90.00°, γ = 90.00°
Closest atoms and distances in Å follow each position.
Space group I-42m (No. 121)
Symmetry-distinct sites (fractional):
K 0.0000 0.5000 0.0000 [4 per cell]  2 K 3.38, 8 Se 3.50
Cu 0.0000 0.0000 0.0000 [2 per cell]  4 Se 2.54
Sb 0.0000 0.0000 0.5000 [2 per cell]  4 Se 2.55
Se 0.1641 0.1641 0.2493 [8 per cell]  1 Cu 2.54, 1 Sb 2.55

Properties
The raw formation energy comes out at -0.5726 eV/atom. The total energy comes out at -3.6166 eV per atom.

Material: KCuSbTe3
Method: DFT, PBE-GGA
State: optimized geometry

a = 10.0094 Å, b = 4.2739 Å, c = 10.1352 Å
α = 90.00°, β = 110.06°, γ = 90.00°
Closest atoms and distances in Å follow each position.
Space group P2_1/m (No. 11)
Symmetry-distinct sites (fractional):
K 0.2327 0.2500 0.1952 [2 per cell]  7 Te 3.63-3.69, 1 Cu 4.00
Cu 0.4306 0.7500 0.9327 [2 per cell]  4 Te 2.60-2.68, 2 Cu 2.66
Sb 0.1441 0.2500 0.6666 [2 per cell]  6 Te 3.01-3.08
Te 0.1498 0.7500 0.8811 [2 per cell]  1 Cu 2.68
Te 0.1754 0.7500 0.4633 [2 per cell]  3 Sb 3.01-3.06
Te 0.4708 0.2500 0.7940 [2 per cell]  3 Cu 2.60-2.66

Properties
The density of states at the Fermi level is 8.49 states/eV/cell. The raw formation energy comes out at -0.3527 eV/atom. The total energy comes out at -3.4762 eV per atom.

Material: KCuSbTe2
Method: DFT, PBE-GGA
State: optimized geometry

a = 7.8402 Å, b = 5.6169 Å, c = 8.1038 Å
α = 90.00°, β = 97.23°, γ = 90.00°
Closest atoms and distances in Å follow each position.
Space group P2/c (No. 13)
Symmetry-distinct sites (fractional):
K 0.0000 0.2105 0.2500 [2 per cell]  6 Te 3.65-3.67, 2 Sb 3.98
Cu 0.5000 0.0000 0.0000 [2 per cell]  2 Te 2.48, 2 Sb 2.76
Sb 0.5000 0.3335 0.2500 [2 per cell]  2 Cu 2.76
Te 0.2670 0.2887 0.9128 [4 per cell]  1 Cu 2.48

Properties
The density of states at the Fermi level is 4.46 states/eV/cell. The raw formation energy comes out at -0.2499 eV/atom. As for the excess energy over the best structure of this formula in the dataset: 0.000 eV per atom. The total energy comes out at -3.3698 eV per atom.

Material: KCuSbTe2
Method: DFT, PBE-GGA
State: optimized geometry

a = 5.9739 Å, b = 5.9739 Å, c = 5.8856 Å
α = 90.00°, β = 90.00°, γ = 90.00°
Closest atoms and distances in Å follow each position.
Space group P4/mmm (No. 123)
Symmetry-distinct sites (fractional):
K 0.0000 0.0000 0.0000 [1 per cell]  2 Sb 2.94, 4 Te 2.99
Cu 0.5000 0.5000 0.5000 [1 per cell]  8 Te 4.19, 4 Sb 4.22
Sb 0.0000 0.0000 0.5000 [1 per cell]  2 K 2.94
Te 0.0000 0.5000 0.0000 [2 per cell]  2 K 2.99

Properties
The density of states at the Fermi level is 7.37 states/eV/cell. The raw formation energy comes out at 1.3089 eV/atom. As for the excess energy over the best structure of this formula in the dataset: 1.559 eV per atom. The total energy comes out at -1.8110 eV per atom.

Material: KCuSbTe2
Method: DFT, PBE-GGA
State: optimized geometry

a = 5.5272 Å, b = 5.5272 Å, c = 4.9870 Å
α = 90.00°, β = 90.00°, γ = 90.00°
Closest atoms and distances in Å follow each position.
Space group P4/mmm (No. 123)
Symmetry-distinct sites (fractional):
K 0.0000 0.0000 0.0000 [1 per cell]  8 Te 3.72, 4 Sb 3.91
Cu 0.5000 0.5000 0.5000 [1 per cell]  2 Sb 2.49, 4 Te 2.76
Sb 0.5000 0.5000 0.0000 [1 per cell]  2 Cu 2.49
Te 0.0000 0.5000 0.5000 [2 per cell]  2 Cu 2.76

Properties
The density of states at the Fermi level is 2.84 states/eV/cell. The raw formation energy comes out at -0.0619 eV/atom. As for the excess energy over the best structure of this formula in the dataset: 0.188 eV per atom. The total energy comes out at -3.1818 eV per atom.

Material: K2TiCuSb
Method: DFT, PBE-GGA
State: optimized geometry

a = 6.1798 Å, b = 6.1798 Å, c = 4.7893 Å
α = 90.00°, β = 90.00°, γ = 90.00°
Closest atoms and distances in Å follow each position.
Space group P4/mmm (No. 123)
Symmetry-distinct sites (fractional):
K 0.0000 0.5000 0.0000 [2 per cell]  2 Cu 3.09
Ti 0.0000 0.0000 0.5000 [1 per cell]  8 K 3.91, 4 Sb 4.37
Cu 0.5000 0.5000 0.0000 [1 per cell]  2 Sb 2.39
Sb 0.5000 0.5000 0.5000 [1 per cell]  2 Cu 2.39

Properties
The density of states at the Fermi level is 7.69 states/eV/cell. The raw formation energy comes out at 0.6555 eV/atom. The total energy comes out at -3.0062 eV per atom.